Entry 1:
{"formula": "KNa2La", "functional": "PBE", "state": "relaxed", "magnetic_moment_mub_per_cell": 0.0, "volume_a3_per_atom": 43.0, "formation_energy_ev_per_atom": 0.243, "e_tot_ev_per_atom": -1.92, "n_ef_per_ev_atom": 0.845, "polymorph_energy_kcal_per_mol_atoms": 0.00, "sg": "R-3m (166)", "lattice": [[1.859, 1.073, 14.385], [-1.859, 1.073, 14.385], [0.000, -2.146, 14.385]], "species": ["K", "Na", "Na", "La"], "fractional_positions": [[0.000, 0.000, 0.000], [0.418, 0.418, 0.418], [0.582, 0.582, 0.582], [0.500, 0.500, 0.500]]}



Entry 2:
{"formula": "KNa2La", "functional": "PBE", "state": "relaxed", "magnetic_moment_mub_per_cell": 0.5, "volume_a3_per_atom": 37.0, "formation_energy_ev_per_atom": 0.420, "e_tot_ev_per_atom": -1.75, "n_ef_per_ev_atom": 1.307, "polymorph_energy_kcal_per_mol_atoms": 4.09, "sg": "Fm-3m (225)", "lattice": [[0.000, 4.198, 4.198], [4.198, 0.000, 4.198], [4.198, 4.198, 0.000]], "species": ["K", "Na", "Na", "La"], "fractional_positions": [[0.000, 0.000, 0.000], [0.250, 0.250, 0.250], [0.750, 0.750, 0.750], [0.500, 0.500, 0.500]]}



Entry 3:
{"formula": "KNaLa3", "functional": "PBE", "state": "relaxed", "magnetic_moment_mub_per_cell": 0.0, "volume_a3_per_atom": 42.4, "formation_energy_ev_per_atom": 1.004, "e_tot_ev_per_atom": -2.44, "n_ef_per_ev_atom": 2.010, "polymorph_energy_kcal_per_mol_atoms": 5.61, "sg": "Pm-3m (221)", "lattice": [[5.962, 0.000, 0.000], [0.000, 5.962, 0.000], [0.000, 0.000, 5.962]], "species": ["K", "Na", "La", "La", "La"], "fractional_positions": [[0.000, 0.000, 0.000], [0.500, 0.500, 0.500], [0.000, 0.000, 0.500], [0.000, 0.500, 0.000], [0.500, 0.000, 0.000]]}



Entry 4:
{"formula": "K3NaLa", "functional": "PBE", "state": "relaxed", "magnetic_moment_mub_per_cell": 3.6, "volume_a3_per_atom": 74.5, "formation_energy_ev_per_atom": 0.786, "e_tot_ev_per_atom": -1.12, "n_ef_per_ev_atom": 2.190, "sg": "Pm-3m (221)", "lattice": [[7.196, 0.000, 0.000], [0.000, 7.196, 0.000], [0.000, 0.000, 7.196]], "species": ["K", "K", "K", "Na", "La"], "fractional_positions": [[0.000, 0.000, 0.500], [0.000, 0.500, 0.000], [0.500, 0.000, 0.000], [0.500, 0.500, 0.500], [0.000, 0.000, 0.000]]}



Entry 5:
{"formula": "KNa2LaNb", "functional": "PBE", "state": "relaxed", "magnetic_moment_mub_per_cell": 1.0, "volume_a3_per_atom": 38.7, "formation_energy_ev_per_atom": 2.050, "e_tot_ev_per_atom": -1.70, "n_ef_per_ev_atom": 0.418, "sg": "P4/mmm (123)", "lattice": [[5.737, 0.000, 0.000], [0.000, 5.737, 0.000], [0.000, 0.000, 5.883]], "species": ["K", "Na", "Na", "La", "Nb"], "fractional_positions": [[0.000, 0.000, 0.000], [0.000, 0.500, 0.500], [0.500, 0.000, 0.500], [0.000, 0.000, 0.500], [0.500, 0.500, 0.000]]}



Entry 6:
{"formula": "KNaLaNbO5", "functional": "PBE", "state": "relaxed", "magnetic_moment_mub_per_cell": 0.0, "volume_a3_per_atom": 16.0, "e_form_raw_mev_per_atom": -2663, "e_tot_ev_per_atom": -7.35, "n_ef_per_ev_atom": 0.000, "sg": "P4/nmm (129)", "lattice": [[5.843, 0.000, 0.000], [0.000, 5.843, 0.000], [0.000, 0.000, 8.416]], "species": ["K", "K", "Na", "Na", "La", "La", "Nb", "Nb", "O", "O", "O", "O", "O", "O", "O", "O", "O", "O"], "fractional_positions": [[0.250, 0.750, 0.000], [0.750, 0.250, 0.000], [0.250, 0.250, 0.241], [0.750, 0.750, 0.759], [0.250, 0.750, 0.500], [0.750, 0.250, 0.500], [0.250, 0.250, 0.745], [0.750, 0.750, 0.255], [0.021, 0.021, 0.673], [0.021, 0.479, 0.673], [0.250, 0.250, 0.967], [0.479, 0.021, 0.673], [0.479, 0.479, 0.673], [0.521, 0.521, 0.327], [0.521, 0.979, 0.327], [0.750, 0.750, 0.033], [0.979, 0.521, 0.327], [0.979, 0.979, 0.327]]}



Entry 7:
{"formula": "KNaLaPb", "functional": "PBE", "state": "relaxed", "magnetic_moment_mub_per_cell": 0.0, "volume_a3_per_atom": 33.7, "formation_energy_ev_per_atom": -0.028, "e_tot_ev_per_atom": -2.79, "n_ef_per_ev_atom": 0.887, "sg": "F-43m (216)", "lattice": [[0.000, 4.068, 4.068], [4.068, 0.000, 4.068], [4.068, 4.068, 0.000]], "species": ["K", "Na", "La", "Pb"], "fractional_positions": [[0.000, 0.000, 0.000], [0.250, 0.250, 0.250], [0.750, 0.750, 0.750], [0.500, 0.500, 0.500]]}



Entry 8:
{"formula": "KRb2NaLa", "functional": "PBE", "state": "relaxed", "magnetic_moment_mub_per_cell": 3.5, "volume_a3_per_atom": 80.0, "formation_energy_ev_per_atom": 0.770, "e_tot_ev_per_atom": -1.09, "n_ef_per_ev_atom": 2.067, "sg": "P4/mmm (123)", "lattice": [[7.398, 0.000, 0.000], [0.000, 7.398, 0.000], [0.000, 0.000, 7.312]], "species": ["K", "Rb", "Rb", "Na", "La"], "fractional_positions": [[0.000, 0.000, 0.000], [0.000, 0.500, 0.500], [0.500, 0.000, 0.500], [0.500, 0.500, 0.000], [0.000, 0.000, 0.500]]}



Entry 9:
{"formula": "KNaLa2Se4", "functional": "PBE", "state": "relaxed", "magnetic_moment_mub_per_cell": 0.0, "volume_a3_per_atom": 31.0, "e_form_raw_mev_per_atom": -1779, "e_tot_ev_per_atom": -5.06, "n_ef_per_ev_atom": 0.000, "sg": "Imma (74)", "lattice": [[-4.407, 4.472, 6.289], [4.407, -4.472, 6.289], [4.407, 4.472, -6.289]], "species": ["K", "K", "Na", "Na", "La", "La", "La", "La", "Se", "Se", "Se", "Se", "Se", "Se", "Se", "Se"], "fractional_positions": [[0.500, 0.000, 0.000], [0.500, 0.500, 0.500], [0.000, 0.000, 0.000], [0.500, 0.000, 0.500], [0.000, 0.000, 0.500], [0.000, 0.500, 0.000], [0.000, 0.500, 0.500], [0.500, 0.500, 0.000], [0.221, 0.742, 0.479], [0.238, 0.258, 0.979], [0.240, 0.254, 0.514], [0.240, 0.726, 0.986], [0.760, 0.274, 0.014], [0.760, 0.746, 0.486], [0.762, 0.742, 0.021], [0.779, 0.258, 0.521]]}



Entry 10:
{"formula": "KNaLaTl", "functional": "PBE", "state": "relaxed", "magnetic_moment_mub_per_cell": 0.0, "volume_a3_per_atom": 32.0, "formation_energy_ev_per_atom": 0.034, "e_tot_ev_per_atom": -2.39, "n_ef_per_ev_atom": 0.035, "sg": "F-43m (216)", "lattice": [[0.000, 4.000, 4.000], [4.000, 0.000, 4.000], [4.000, 4.000, 0.000]], "species": ["K", "Na", "La", "Tl"], "fractional_positions": [[0.000, 0.000, 0.000], [0.250, 0.250, 0.250], [0.750, 0.750, 0.750], [0.500, 0.500, 0.500]]}



Entry 11:
{"formula": "KLa2Nb", "functional": "PBE", "state": "relaxed", "magnetic_moment_mub_per_cell": 0.0, "volume_a3_per_atom": 41.5, "formation_energy_ev_per_atom": 0.775, "e_tot_ev_per_atom": -4.48, "n_ef_per_ev_atom": 0.812, "polymorph_energy_kcal_per_mol_atoms": 0.32, "sg": "I-42d (122)", "lattice": [[-4.340, 4.340, 4.406], [4.340, -4.340, 4.406], [4.340, 4.340, -4.406]], "species": ["K", "K", "La", "La", "La", "La", "Nb", "Nb"], "fractional_positions": [[0.000, 0.000, 0.000], [0.750, 0.250, 0.500], [0.261, 0.625, 0.136], [0.375, 0.511, 0.636], [0.489, 0.125, 0.864], [0.875, 0.739, 0.364], [0.250, 0.750, 0.500], [0.500, 0.500, 0.000]]}



Entry 12:
{"formula": "K4LaNb2", "functional": "PBE", "state": "relaxed", "magnetic_moment_mub_per_cell": 1.8, "volume_a3_per_atom": 55.8, "formation_energy_ev_per_atom": 1.355, "e_tot_ev_per_atom": -2.85, "n_ef_per_ev_atom": 1.327, "sg": "I4/mmm (139)", "lattice": [[-3.382, 3.382, 8.539], [3.382, -3.382, 8.539], [3.382, 3.382, -8.539]], "species": ["K", "K", "K", "K", "La", "Nb", "Nb"], "fractional_positions": [[0.000, 0.500, 0.500], [0.226, 0.226, 0.000], [0.500, 0.000, 0.500], [0.774, 0.774, 0.000], [0.000, 0.000, 0.000], [0.437, 0.437, 0.000], [0.563, 0.563, 0.000]]}